1.
! Sc2RePt | Alexandria via LeMat-Bulk | PBE | optimized geometry; values from VASP
&SYSTEM
  ibrav = 0, nat = 4, ntyp = 3
/
ATOMIC_SPECIES
Pt 195.08 Pt.upf
Re 186.21 Re.upf
Sc 44.96 Sc.upf
CELL_PARAMETERS angstrom
3.300 0.000 0.000
0.000 3.309 0.005
0.000 3.300 6.397
ATOMIC_POSITIONS crystal
Pt 0.500 0.250 0.250
Re 0.500 0.750 0.750
Sc 0.000 0.003 0.997
Sc 0.000 0.497 0.503
! **Space-group type**: P4/mmm
! **Magnetization**: 0.000 μB per atom

2.
! Sc2RePt | Alexandria via LeMat-Bulk | PBE | optimized geometry; values from VASP
&SYSTEM
  ibrav = 0, nat = 4, ntyp = 3
/
ATOMIC_SPECIES
Pt 195.08 Pt.upf
Re 186.21 Re.upf
Sc 44.96 Sc.upf
CELL_PARAMETERS angstrom
5.411 0.011 0.103
4.636 2.790 0.103
1.172 0.327 4.806
ATOMIC_POSITIONS crystal
Pt 0.477 0.477 0.449
Re 0.771 0.771 0.799
Sc 0.024 0.024 0.937
Sc 0.227 0.227 0.315
! **Space-group type**: Cm
! **Magnetization**: 0.000 μB per atom

Short version: energy = -8.41 -8.21 eV/atom, in the order given.
Short version: energy of formation from the pure elements = -0.622 -0.419 eV/atom, in the order given.
Short version: calculated density = 11.2 10.9 Mg/m³, in the order given.